Record 1
Li2DySn2 (PBE, relaxed); DFT total energy = -3.76 eV/atom; DFT formation energy = -0.477 eV/atom; SG = I4/mmm, No. 139; relative energy among the computed polymorphs = 0.015 eV per atom
1.0
3.460 0.000 0.000
0.000 6.803 -1.311
-1.730 -3.393 9.846
Dy Sn Li
2 4 4
Direct
0.000 0.250 0.000
0.000 0.750 0.000
0.377 0.316 0.754
0.623 0.684 0.246
0.623 0.184 0.246
0.377 0.816 0.754
0.791 0.937 0.582
0.209 0.063 0.418
0.791 0.437 0.582
0.209 0.563 0.418



Record 2
Li3DySn6 (PBE, relaxed); DFT total energy = -3.77 eV/atom; DFT formation energy = -0.331 eV/atom; SG = P2_1/m, No. 11
1.0
4.483 0.000 0.000
0.000 10.163 -0.159
0.000 0.090 10.285
Li Dy Sn
6 2 12
Direct
0.250 0.349 0.797
0.250 0.561 0.398
0.750 0.439 0.602
0.250 0.749 0.002
0.750 0.251 0.998
0.750 0.651 0.203
0.750 0.070 0.379
0.250 0.930 0.621
0.750 0.160 0.704
0.750 0.525 0.900
0.250 0.180 0.180
0.750 0.377 0.309
0.250 0.263 0.511
0.750 0.737 0.489
0.250 0.475 0.100
0.750 0.820 0.820
0.750 0.942 0.100
0.250 0.058 0.900
0.250 0.623 0.691
0.250 0.840 0.296



Record 3
Li6DySn6 (PBE, relaxed); DFT total energy = -3.46 eV/atom; DFT formation energy = -0.372 eV/atom; SG = Immm, No. 71; relative energy among the computed polymorphs = 0.000 eV per atom
1.0
5.247 0.000 2.291
2.377 6.830 1.710
-0.120 -0.233 7.427
Dy Sn Li
1 6 6
Direct
0.000 0.000 0.000
0.662 0.838 0.838
0.338 0.162 0.162
0.667 0.333 0.333
0.000 0.346 0.654
0.000 0.654 0.346
0.333 0.667 0.667
0.500 0.251 0.749
0.500 0.749 0.251
0.500 0.500 0.000
0.000 0.500 0.000
0.500 0.000 0.500
0.000 0.000 0.500



Record 4
Li3Dy2Sn4 (PBE, relaxed); DFT total energy = -3.94 eV/atom; DFT formation energy = -0.496 eV/atom; SG = Cmce, No. 64
1.0
6.251 0.000 0.000
0.000 8.017 0.000
-3.125 0.000 7.979
Dy Li Sn
4 6 8
Direct
0.893 0.402 0.786
0.107 0.598 0.214
0.393 0.098 0.786
0.607 0.902 0.214
0.478 0.250 0.456
0.522 0.750 0.544
0.022 0.750 0.544
0.500 0.500 0.000
0.978 0.250 0.456
0.000 0.000 0.000
0.695 0.750 0.890
0.322 0.476 0.644
0.195 0.750 0.890
0.822 0.024 0.644
0.305 0.250 0.110
0.678 0.524 0.356
0.805 0.250 0.110
0.178 0.976 0.356



Record 5
LiDy3Sn2 (PBE, relaxed); DFT total energy = -4.47 eV/atom; DFT formation energy = -0.517 eV/atom; SG = Ibam, No. 72
1.0
6.340 0.000 0.000
0.000 6.298 0.000
-3.170 -3.149 8.185
Dy Li Sn
6 2 4
Direct
0.931 0.177 0.354
0.577 0.323 0.646
0.500 0.750 0.000
0.500 0.250 0.000
0.069 0.823 0.646
0.423 0.677 0.354
0.000 0.250 0.000
0.000 0.750 0.000
0.111 0.368 0.736
0.889 0.632 0.264
0.374 0.132 0.264
0.626 0.868 0.736



Record 6
Li2Dy5Sn5 (PBE, relaxed); DFT total energy = -4.40 eV/atom; DFT formation energy = -0.497 eV/atom; SG = C2/m, No. 12
1.0
4.697 0.000 0.000
-2.349 5.786 -1.022
0.000 -4.591 12.283
Sn Dy Li
5 5 2
Direct
0.848 0.697 0.559
0.000 0.000 0.000
0.675 0.350 0.782
0.152 0.303 0.441
0.325 0.650 0.218
0.328 0.656 0.722
0.672 0.344 0.278
0.341 0.682 0.991
0.500 0.000 0.500
0.659 0.318 0.009
0.054 0.108 0.784
0.946 0.892 0.216